[1]
An optimized crystal structure of SiTeP2Cl, computed with PBE.

Properties
Formation energy without anion corrections (eV per atom): 0.410
Energy above the lowest structure with this stoichiometry (eV per atom): 0.000

```
data_SiTeP2Cl
_cell_length_a 4.740
_cell_length_b 4.740
_cell_length_c 4.446
_cell_angle_alpha 90.00
_cell_angle_beta 90.00
_cell_angle_gamma 90.00
_space_group_name_H-M_alt 'P 1'
_space_group_IT_number 1
loop_
_space_group_symop_operation_xyz
'x,y,z'
loop_
_atom_site_label
_atom_site_fract_x
_atom_site_fract_y
_atom_site_fract_z
P1 0.000 0.500 0.000
P2 0.500 0.000 0.000
Si1 0.000 0.000 0.000
Te1 0.500 0.500 0.500
Cl1 0.000 0.000 0.500
```

=====

[2]
An optimized crystal structure of BiAsPd, computed with PBE.

Properties
Calculated formation energy (meV/atom): -181
Energy above the lowest structure with this stoichiometry (eV per atom): 0.066

```
data_BiAsPd
_cell_length_a 4.373
_cell_length_b 4.286
_cell_length_c 4.286
_cell_angle_alpha 120.00
_cell_angle_beta 90.00
_cell_angle_gamma 90.00
_space_group_name_H-M_alt 'P 1'
_space_group_IT_number 1
loop_
_space_group_symop_operation_xyz
'x,y,z'
loop_
_atom_site_label
_atom_site_fract_x
_atom_site_fract_y
_atom_site_fract_z
As1 0.141 0.000 0.000
Bi1 0.601 0.333 0.667
Pd1 0.259 0.667 0.333
```

=====

[3]
An optimized crystal structure of MnBSe2Br, computed with PBE.

Properties
Formation energy without anion corrections (eV per atom): 0.888
Energy above the lowest structure with this stoichiometry (eV per atom): 0.000

```
data_MnBSe2Br
_cell_length_a 4.798
_cell_length_b 4.798
_cell_length_c 5.162
_cell_angle_alpha 90.00
_cell_angle_beta 90.00
_cell_angle_gamma 90.00
_space_group_name_H-M_alt 'P 1'
_space_group_IT_number 1
loop_
_space_group_symop_operation_xyz
'x,y,z'
loop_
_atom_site_label
_atom_site_fract_x
_atom_site_fract_y
_atom_site_fract_z
B1 0.500 0.500 0.500
Mn1 0.000 0.000 0.000
Se1 0.000 0.500 0.000
Se2 0.500 0.000 0.000
Br1 0.000 0.000 0.500
```

=====

[4]
An optimized crystal structure of Al2B2O5, computed with PBE.

Properties
Formation energy without anion corrections (eV per atom): -1.941

```
data_Al2B2O5
_cell_length_a 2.621
_cell_length_b 4.586
_cell_length_c 10.269
_cell_angle_alpha 125.20
_cell_angle_beta 97.33
_cell_angle_gamma 90.00
_space_group_name_H-M_alt 'P 1'
_space_group_IT_number 1
loop_
_space_group_symop_operation_xyz
'x,y,z'
loop_
_atom_site_label
_atom_site_fract_x
_atom_site_fract_y
_atom_site_fract_z
Al1 0.579 0.320 0.158
Al2 0.421 0.680 0.842
B1 0.839 0.966 0.679
B2 0.161 0.034 0.321
O1 0.640 0.145 0.280
O2 0.360 0.855 0.720
O3 0.886 0.357 0.772
O4 0.114 0.643 0.228
O5 0.000 0.000 0.000
```

=====

> Which formula does entry 3 have?

MnBSe2Br